w:
AlTeMo3, relaxed, DFT GGA-PBE; space-group type = Pm-3m, No. 221; spin magnetization = 0.00 μB per cell
1.0
-0.6624 -4.2640 -2.2328
3.9894 0.7746 -2.6628
2.6929 -2.1964 3.3956
Mo Al Te
3 1 1
Cartesian
-0.3312 -2.1320 -1.1164
1.3465 -1.0982 1.6978
1.9947 0.3873 -1.3314
3.0100 -2.8429 -0.7500
0.0000 0.0000 0.0000

***

x:
AlTeMo3, relaxed, DFT GGA-PBE; space-group type = Pm-3m, No. 221; spin magnetization = 0.00 μB per cell
1.0
-4.0070 2.1310 0.8441
-1.1134 -0.3238 -4.4682
-2.0035 -4.0821 0.7950
Te Al Mo
1 1 3
Cartesian
-3.5619 -1.1374 -1.4146
0.0000 0.0000 0.0000
-2.0035 1.0655 0.4220
-1.0017 -2.0410 0.3975
-0.5567 -0.1619 -2.2341

***

Most stable: x

***

w:
AlTeMo2, relaxed, DFT GGA-PBE; space-group type = P4/mmm, No. 123; spin magnetization = 0.00 μB per cell
1.0
-1.3821 -2.8520 -0.9491
2.5635 -1.6639 1.2669
-2.9652 -0.3894 5.4883
Te Mo Al
1 2 1
Cartesian
-0.1506 -2.3553 1.5310
-1.5675 -0.2059 2.9013
-2.8803 -0.3783 5.3312
-1.6332 -2.5500 4.2751

***

x:
AlTeMo2, relaxed, DFT GGA-PBE; space-group type = C2/m, No. 12; spin magnetization = 0.00 μB per cell
1.0
4.8019 0.0000 -0.0034
3.6449 3.1261 -0.0034
0.6947 0.2571 4.9222
Mo Al Te
2 1 1
Cartesian
8.4840 3.1399 0.2697
4.5336 1.6779 2.1813
2.2854 0.8458 1.2289
6.8562 2.5374 3.6866

***

Most stable: w

***

w:
AlTeMo2, relaxed, DFT GGA-PBE; space-group type = Imm2, No. 44; spin magnetization = 0.00 μB per cell
1.0
-5.2687 0.4709 -0.1421
-2.7329 -4.1307 1.8627
3.7043 3.5240 1.3641
Al Mo Te
1 2 1
Cartesian
-1.4144 -1.1724 2.0220
-2.8039 1.0728 1.0458
-0.0169 -0.0077 0.0036
-4.0629 -1.8583 0.8737

***

x:
AlTeMo2, relaxed, DFT GGA-PBE; space-group type = P2/m, No. 10; spin magnetization = 0.00 μB per cell
1.0
-0.4060 -0.5471 -4.5583
2.8738 -1.7898 -0.0411
-3.2269 -3.9116 0.7569
Mo Al Te
2 1 1
Cartesian
-0.5880 -2.9841 0.4105
-2.8154 -3.7783 0.7042
-0.4678 -4.5497 -1.7423
-0.2913 -1.6989 -2.1002

***

y:
AlTeMo2, relaxed, DFT GGA-PBE; space-group type = Cmmm, No. 65; spin magnetization = 0.00 μB per cell
1.0
-2.7120 0.1950 1.1125
1.1242 -2.6164 0.7221
3.2251 3.3914 7.2674
Al Mo Te
1 2 1
Cartesian
1.6249 1.3328 6.3679
1.6598 1.7453 3.7401
3.1779 3.3418 7.1611
0.0124 -0.3629 2.7342

***

Most stable: w

***

w:
AlTeMo2, relaxed, DFT GGA-PBE; space-group type = Cmm2, No. 35; spin magnetization = 0.00 μB per cell
1.0
-2.7909 0.9386 0.0200
0.1475 -2.8749 -0.6198
-0.6011 -1.9805 9.0435
Mo Te Al
2 1 1
Cartesian
-1.4564 -1.4118 1.7262
-0.0050 -0.0165 0.0754
-0.2901 -0.9557 4.3638
-1.7937 -2.5230 6.8001

***

x:
AlTeMo2, relaxed, DFT GGA-PBE; space-group type = Immm, No. 71; spin magnetization = 0.00 μB per cell
1.0
5.2084 0.0086 -0.0112
1.9363 4.8351 0.0112
-3.0338 -3.2162 2.7531
Al Mo Te
1 2 1
Cartesian
1.2374 2.0204 1.3821
0.0393 0.0267 0.0000
3.5330 2.3952 0.0000
2.8735 -0.3929 1.3710

***

Most stable: w

***

w:
AlTeMo2, relaxed, DFT GGA-PBE; space-group type = Cm, No. 8; spin magnetization = 0.00 μB per cell
1.0
-3.8794 -1.4067 -2.7516
-4.6225 -1.7566 0.3831
-2.8934 3.7475 -0.2676
Mo Al Te
2 1 1
Cartesian
-0.1561 0.2021 -0.0144
-8.4172 0.3275 -1.9587
-2.7718 -0.0822 -0.6662
-5.7492 0.4286 -1.3150

***

x:
AlTeMo2, relaxed, DFT GGA-PBE; space-group type = Fm-3m, No. 225; spin magnetization = 0.00 μB per cell
1.0
0.0000 3.2279 3.2279
3.2279 0.0000 3.2279
3.2279 3.2279 0.0000
Mo Te Al
2 1 1
Cartesian
1.6140 1.6140 1.6140
4.8419 4.8419 4.8419
3.2279 3.2279 3.2279
0.0000 0.0000 0.0000

***

y:
AlTeMo2, relaxed, DFT GGA-PBE; space-group type = R-3m, No. 166; spin magnetization = 0.00 μB per cell
1.0
8.7086 -0.0043 -0.0025
8.1618 3.0374 -0.0025
8.1618 1.4674 2.6594
Mo Al Te
2 1 1
Cartesian
12.5261 2.2520 1.3282
25.0222 4.4987 2.6533
18.7742 3.3754 1.9908
6.2581 1.1251 0.6636

***

z:
AlTeMo2, relaxed, DFT GGA-PBE; space-group type = I-42d, No. 122; spin magnetization = 0.00 μB per cell
1.0
-1.0163 1.5184 3.6351
-3.7834 -1.4223 -0.4637
0.1339 -8.0217 5.6649
Te Mo Al
2 4 2
Cartesian
-1.6412 -3.2276 5.4429
0.0000 0.0000 0.0000
-1.9179 -6.0623 5.4112
-2.5169 -2.6169 1.7907
-1.0160 -1.3219 3.4204
-3.8810 -5.8501 7.0505
-2.3999 0.0480 1.5857
-3.0247 -4.6980 3.3935

***

Most stable: w

***

w:
ThAlMo, relaxed, DFT GGA-PBE; space-group type = Fddd, No. 70; spin magnetization = 0.00 μB per cell
1.0
-0.0833 3.9982 3.1445
-5.5762 1.7507 1.7416
0.4467 -3.8249 8.9903
Th Mo Al
4 4 4
Cartesian
-1.0073 2.0343 7.6748
-4.2472 1.8889 7.7739
-3.9563 1.8234 1.6920
-1.7032 3.9255 3.1941
0.3198 -2.3122 7.0635
0.0436 2.4855 5.0713
-2.7540 3.4743 5.7976
-2.5004 0.4488 9.6511
0.3222 -0.8377 9.3040
-2.5027 -1.0257 7.4107
-2.6684 0.9506 4.8935
0.0412 1.0110 2.8309

***

x:
ThAlMo, relaxed, DFT GGA-PBE; space-group type = Imma, No. 74; spin magnetization = 0.00 μB per cell
1.0
5.0059 -0.1069 -2.4838
-2.9193 4.7304 -0.5835
-0.4716 0.1069 5.5683
Mo Al Th
2 2 2
Cartesian
1.0433 2.3118 -1.5337
-1.6955 2.4186 2.4924
2.5030 -0.0534 -1.2419
-1.4597 2.3652 -0.2918
0.6768 0.6515 1.4425
0.9381 4.0789 1.0584

***

Most stable: x

***

w:
TiAlMo3, relaxed, DFT GGA-PBE; space-group type = Pm-3m, No. 221; spin magnetization = 0.00 μB per cell
1.0
-1.9916 -0.3890 -4.0802
-1.9843 -3.8778 1.3383
-3.5863 2.3616 1.5254
Mo Ti Al
3 1 1
Cartesian
-0.9921 -1.9389 0.6692
-0.9958 -0.1945 -2.0401
-1.7932 1.1808 0.7627
0.0000 0.0000 0.0000
-3.7811 -0.9526 -0.6083

***

x:
TiAlMo3, relaxed, DFT GGA-PBE; space-group type = Pm-3m, No. 221; spin magnetization = 0.00 μB per cell
1.0
-4.2279 -1.6429 0.1008
1.0758 -2.5481 3.5965
-1.2457 3.3754 2.7640
Mo Al Ti
3 1 1
Cartesian
-2.1140 -0.8215 0.0504
0.5379 -1.2740 1.7982
-0.6229 1.6877 1.3820
0.0000 0.0000 0.0000
-2.1989 -0.4078 3.2306

***

Most stable: x

***

w:
Ti2AlMo2, relaxed, DFT GGA-PBE; space-group type = C2/m, No. 12; spin magnetization = 0.00 μB per cell
1.0
-2.4664 2.0549 2.9081
1.3536 -3.7638 3.8076
5.9536 4.2808 -1.2015
Mo Ti Al
4 4 2
Cartesian
2.8735 0.5330 5.2865
1.9672 2.0389 0.2278
2.1967 2.4149 3.3826
2.6440 0.1570 2.1316
4.9234 0.9066 3.5351
4.2467 2.7885 1.6313
-0.0827 1.6653 1.9791
0.5941 -0.2166 3.8829
-2.1280 1.1140 3.8600
1.0152 -2.8228 2.8558

***

x:
Ti2AlMo2, relaxed, DFT GGA-PBE; space-group type = P4/mbm, No. 127; spin magnetization = 0.00 μB per cell
1.0
-0.1573 3.2612 6.0828
-6.8997 0.0777 -0.2201
-0.0881 -3.1090 1.6645
Ti Al Mo
4 2 4
Cartesian
-1.1895 -0.4276 2.8764
-2.5346 1.2172 5.8774
-4.6105 -0.9873 1.6499
-5.9556 0.6575 4.6509
-3.5285 1.6694 2.9314
0.0000 0.0000 0.0000
-5.9403 1.2171 1.9589
-1.1168 2.1218 3.9038
-4.5990 2.8317 5.0456
-2.4580 0.5071 0.8171

***

Most stable: w

***

w:
TiAl3Mo, relaxed, DFT GGA-PBE; space-group type = Pnma, No. 62; spin magnetization = 0.00 μB per cell
1.0
9.5326 0.0000 0.0000
0.0000 4.3315 0.0000
0.0000 0.0000 7.8731
Al Ti Mo
12 4 4
Cartesian
7.8951 2.1710 1.9683
6.6502 2.1706 4.4014
6.6502 2.1706 7.4082
1.6376 2.1605 5.9048
1.8839 4.3267 7.4082
7.6488 0.0048 0.4649
2.8825 2.1609 3.4716
1.8839 4.3267 4.4014
7.6488 0.0048 3.4716
2.8825 2.1609 0.4649
6.4039 0.0053 5.9048
3.1288 4.3262 1.9683
5.1125 2.1623 1.9683
0.3462 0.0034 1.9683
9.1865 4.3281 5.9048
4.4202 2.1692 5.9048
0.0000 2.1658 3.9365
4.7663 0.0000 3.9365
4.7663 0.0000 0.0000
0.0000 2.1658 0.0000

***

x:
TiAl3Mo, relaxed, DFT GGA-PBE; space-group type = Pm-3m, No. 221; spin magnetization = 0.00 μB per cell
1.0
4.7016 0.0000 0.0000
0.0000 4.7016 0.0000
0.0000 0.0000 4.7016
Al Ti Mo
3 1 1
Cartesian
0.0000 2.3508 0.0000
2.3508 0.0000 0.0000
0.0000 0.0000 2.3508
2.3508 2.3508 2.3508
0.0000 0.0000 0.0000

***

Most stable: w

***

w:
Ti8Al2Mo, relaxed, DFT GGA-PBE; space-group type = C2/m, No. 12; spin magnetization = 0.00 μB per cell
1.0
-1.7499 2.8497 -3.1654
-6.5052 -0.7353 2.9342
5.0913 3.2521 3.4622
Al Ti Mo
2 8 1
Cartesian
-2.1980 1.6922 2.7385
-0.9659 3.6742 0.4925
-0.1147 3.4653 3.1830
2.1574 2.9780 1.4883
-5.3212 2.3884 1.7427
-3.1256 4.2920 2.2426
-3.0491 1.9011 0.0479
-4.2682 -0.0088 2.3516
-0.0382 1.0745 0.9884
1.1044 5.3753 0.8794
-0.8750 1.4248 -1.5827

***

x:
Ti8Al2Mo, relaxed, DFT GGA-PBE; space-group type = P4/mmm, No. 123; spin magnetization = 0.00 μB per cell
1.0
-0.4502 3.5104 -2.2050
-2.4602 -2.0114 -2.6999
-8.7588 2.6499 6.0069
Ti Mo Al
8 1 2
Cartesian
-5.6095 0.3193 1.6535
-8.7462 1.2683 3.8048
-4.6045 3.0801 1.9010
-4.2952 1.6087 -0.5047
-1.4677 2.1311 -0.2503
-7.3739 2.5402 1.6067
-2.4727 -0.6297 -0.4977
-7.7412 4.0291 4.0522
0.0000 0.0000 0.0000
-5.9787 1.8088 4.1003
-2.7801 0.8411 1.9066

***

Most stable: w

***

w:
TiAlMo, relaxed, DFT GGA-PBE; space-group type = R-3m, No. 166; spin magnetization = 0.00 μB per cell
1.0
-4.5139 -0.2321 0.7166
-2.1944 -3.9847 -0.5002
-1.3061 -2.6044 5.5422
Ti Mo Al
2 2 2
Cartesian
-3.8003 -3.6772 4.0959
-4.2141 -3.1439 1.6626
-2.1244 -1.5495 0.7289
-5.8900 -5.2717 5.0297
-6.3363 -4.6964 2.4047
-1.6782 -2.1248 3.3538

***

x:
TiAlMo, relaxed, DFT GGA-PBE; space-group type = P4_2/mmc, No. 131; spin magnetization = 0.01 μB per cell
1.0
-1.5753 -3.8790 1.6488
4.1880 -1.2427 1.0778
-0.6018 2.4320 5.1467
Mo Al Ti
2 2 2
Cartesian
0.6967 -1.3410 6.9958
0.9973 -2.5570 4.4224
-0.9460 -2.5432 2.5965
1.6348 -0.0097 4.8848
1.9353 -1.2253 2.3110
-1.2472 -1.3284 5.1701

***

y:
TiAlMo, relaxed, DFT GGA-PBE; space-group type = P3m1, No. 156; spin magnetization = 0.00 μB per cell
1.0
2.6960 0.0000 0.0000
0.0000 4.5035 0.0000
0.0000 -2.2517 3.9001
Mo Ti Al
1 1 1
Cartesian
0.8275 2.2517 1.3000
0.1166 0.0000 0.0000
1.7519 0.0000 2.6001

***

z:
TiAlMo, relaxed, DFT GGA-PBE; space-group type = C2/m, No. 12; spin magnetization = 0.00 μB per cell
1.0
-0.0910 -0.4805 -3.3484
4.1125 -2.6190 1.9740
-1.7482 -5.6374 0.8565
Mo Ti Al
2 2 2
Cartesian
1.6968 -2.7003 1.1974
0.6157 -6.0332 -1.7148
-0.2401 -3.8990 -0.2878
2.5527 -4.8344 -0.2295
1.7865 -7.6221 0.1914
0.5261 -1.1114 -0.7087

***

Most stable: z